No. 1
The following is a DFT calculation (GGA-PBE) of crystalline LaPuS at its relaxed geometry.

a = 3.778 Å, b = 4.624 Å, c = 16.852 Å
α = 90.00°, β = 90.00°, γ = 90.00°
Space group Immm (No. 71)
Symmetry-distinct sites (fractional):
La  0.000  0.000  0.166
Pu  0.000  0.249  0.500
S  0.000  0.000  0.342

Uncorrected formation energy = -0.863 eV/atom
Theoretical density = 9.4 g cm⁻³

No. 2
The following is a DFT calculation (GGA-PBE) of crystalline La3PuS6 at its relaxed geometry.

a = 11.394 Å, b = 4.176 Å, c = 11.735 Å
α = 90.00°, β = 107.06°, γ = 90.00°
Space group P2_1/m (No. 11)
Symmetry-distinct sites (fractional):
La  0.078  0.250  0.169
La  0.183  0.750  0.509
La  0.340  0.250  0.918
Pu  0.455  0.250  0.323
S  0.027  0.250  0.390
S  0.091  0.250  0.928
S  0.256  0.750  0.286
S  0.321  0.750  0.750
S  0.395  0.250  0.544
S  0.414  0.750  0.099

Uncorrected formation energy = -1.990 eV/atom
Theoretical density = 5.3 g cm⁻³

No. 3
The following is a DFT calculation (GGA-PBE) of crystalline La5PuS6 at its relaxed geometry.

a = 7.142 Å, b = 12.385 Å, c = 7.158 Å
α = 90.00°, β = 109.47°, γ = 90.00°
Space group C2/m (No. 12)
Symmetry-distinct sites (fractional):
La  0.000  0.000  0.000
La  0.000  0.166  0.500
La  0.000  0.331  0.000
Pu  0.000  0.500  0.500
S  0.243  0.500  0.253
S  0.244  0.337  0.744

Uncorrected formation energy = -2.098 eV/atom
Theoretical density = 6.3 g cm⁻³

No. 4
The following is a DFT calculation (GGA-PBE) of crystalline La4Pu3S8 at its relaxed geometry.

a = 11.514 Å, b = 11.524 Å, c = 8.114 Å
α = 90.00°, β = 134.58°, γ = 90.00°
Space group C2/m (No. 12)
Symmetry-distinct sites (fractional):
La  0.000  0.000  0.000
La  0.000  0.500  0.500
La  0.250  0.250  0.000
Pu  0.000  0.000  0.500
Pu  0.250  0.250  0.500
S  0.000  0.245  0.500
S  0.000  0.251  0.000
S  0.245  0.000  0.501
S  0.247  0.000  0.993

Uncorrected formation energy = -1.957 eV/atom
Theoretical density = 6.7 g cm⁻³

No. 5
The following is a DFT calculation (GGA-PBE) of crystalline La5Pu2S12 at its relaxed geometry.

a = 15.763 Å, b = 7.581 Å, c = 9.204 Å
α = 90.00°, β = 107.53°, γ = 90.00°
Space group C2/m (No. 12)
Symmetry-distinct sites (fractional):
La  0.000  0.000  0.000
La  0.190  0.500  0.327
La  0.203  0.500  0.862
Pu  0.000  0.251  0.500
S  0.001  0.000  0.309
S  0.002  0.500  0.706
S  0.150  0.251  0.069
S  0.172  0.269  0.587

Uncorrected formation energy = -1.850 eV/atom
Theoretical density = 5.0 g cm⁻³

No. 6
The following is a DFT calculation (GGA-PBE) of crystalline LaPu2ScS4 at its relaxed geometry.

a = 6.782 Å, b = 3.941 Å, c = 6.928 Å
α = 90.00°, β = 109.34°, γ = 90.00°
Space group P2/m (No. 10)
Symmetry-distinct sites (fractional):
La  0.000  0.000  0.000
Pu  0.500  0.000  0.500
Pu  0.500  0.500  0.000
Sc  0.000  0.500  0.500
S  0.242  0.000  0.733
S  0.253  0.500  0.268

Uncorrected formation energy = -1.846 eV/atom
Theoretical density = 7.6 g cm⁻³